<i>
KBa3Zr after structural relaxation. Source: Alexandria, functional PBE.

Summary:
- space-group type = Pm-3m (221)
- crystal system = cubic

Cell lengths 6.601, 6.601, 6.601 Å; angles 90.00, 90.00, 90.00 degrees
Each line ends with the local moment (μB).
Positions (direct):
K (0.500, 0.500, 0.500)  0.00
Ba (0.000, 0.500, 0.000)  0.06
Ba (0.000, 0.000, 0.500)  0.08
Ba (0.500, 0.000, 0.000)  0.02
Zr (0.000, 0.000, 0.000)  0.65



<ii>
KBa3Zr after structural relaxation. Source: Alexandria, functional PBE.

Summary:
- space-group type = Pm-3m (221)
- crystal system = cubic

Cell lengths 6.366, 6.366, 6.366 Å; angles 90.00, 90.00, 90.00 degrees
Positions (direct):
K (0.000, 0.000, 0.000)
Ba (0.000, 0.500, 0.000)
Ba (0.000, 0.000, 0.500)
Ba (0.500, 0.000, 0.000)
Zr (0.500, 0.500, 0.500)



We find <i> to be the most stable, with the next structure 65.0 kJ/mol of atoms higher.



<i>
Ba2La after structural relaxation. Source: Alexandria, functional PBE.

Summary:
- space-group type = Cm (8)
- crystal system = monoclinic

Cell lengths 8.022, 8.022, 10.030 Å; angles 74.88, 74.88, 29.90 degrees
Positions (direct):
Ba (0.993, 0.993, 0.994)
Ba (0.342, 0.342, 0.344)
Ba (0.662, 0.662, 0.669)
Ba (0.616, 0.616, 0.275)
La (0.932, 0.932, 0.633)
La (0.287, 0.287, 0.917)



<ii>
Ba2La after structural relaxation. Source: Alexandria, functional PBE.

Summary:
- space-group type = P-62m (189)
- crystal system = hexagonal

Cell lengths 11.500, 11.500, 4.014 Å; angles 90.00, 90.00, 120.00 degrees
Positions (direct):
Ba (0.306, 0.000, 0.000)
Ba (0.000, 0.306, 0.000)
Ba (0.694, 0.694, 0.000)
Ba (0.642, 0.000, 0.500)
Ba (0.000, 0.642, 0.500)
Ba (0.358, 0.358, 0.500)
La (0.333, 0.667, 0.000)
La (0.667, 0.333, 0.000)
La (0.000, 0.000, 0.500)



<iii>
Ba2La after structural relaxation. Source: Alexandria, functional PBE.

Summary:
- space-group type = Pa-3 (205)
- crystal system = cubic

Cell lengths 8.448, 8.448, 8.448 Å; angles 90.00, 90.00, 90.00 degrees
Positions (direct):
Ba (0.643, 0.643, 0.357)
Ba (0.357, 0.357, 0.643)
Ba (0.143, 0.857, 0.643)
Ba (0.857, 0.143, 0.357)
Ba (0.357, 0.143, 0.143)
Ba (0.643, 0.857, 0.857)
Ba (0.857, 0.357, 0.857)
Ba (0.143, 0.643, 0.143)
La (0.000, 0.000, 0.000)
La (0.500, 0.500, 0.000)
La (0.500, 0.000, 0.500)
La (0.000, 0.500, 0.500)



We find <i> to be the most stable, with the next structure 5.4 kJ/mol of atoms higher.



<i>
Ba2La after structural relaxation. Source: Alexandria, functional PBE.

Summary:
- space-group type = I4/mmm (139)
- crystal system = tetragonal

Cell lengths 9.593, 9.593, 9.593 Å; angles 155.34, 155.34, 35.16 degrees
Positions (direct):
Ba (0.344, 0.344, 0.000)
Ba (0.656, 0.656, 0.000)
La (0.000, 0.000, 0.000)



<ii>
Ba2La after structural relaxation. Source: Alexandria, functional PBE.

Summary:
- space-group type = Immm (71)
- crystal system = orthorhombic

Cell lengths 7.235, 7.235, 7.235 Å; angles 147.23, 131.64, 59.65 degrees
Positions (direct):
Ba (0.338, 0.338, 0.000)
Ba (0.662, 0.662, 0.000)
La (0.000, 0.000, 0.000)



We find <i> to be the most stable, with the next structure 3.7 kJ/mol of atoms higher.



<i>
Ba2La after structural relaxation. Source: Alexandria, functional PBE.

Summary:
- space-group type = P-3m1 (164)
- crystal system = trigonal

Cell lengths 4.141, 4.141, 10.284 Å; angles 90.00, 90.00, 120.00 degrees
Positions (direct):
Ba (0.667, 0.333, 0.683)
Ba (0.333, 0.667, 0.317)
La (0.000, 0.000, 0.000)



<ii>
Ba2La after structural relaxation. Source: Alexandria, functional PBE.

Summary:
- space-group type = P4/mmm (123)
- crystal system = tetragonal

Cell lengths 6.656, 6.656, 4.033 Å; angles 90.00, 90.00, 90.00 degrees
Positions (direct):
Ba (0.000, 0.500, 0.500)
Ba (0.500, 0.000, 0.500)
La (0.000, 0.000, 0.000)



We find <i> to be the most stable, with the next structure 23.3 kJ/mol of atoms higher.



<i>
BaLa2 after structural relaxation. Source: Alexandria, functional PBE.

Summary:
- space-group type = Immm (71)
- crystal system = orthorhombic

Cell lengths 6.996, 6.996, 6.996 Å; angles 148.08, 134.80, 56.40 degrees
Positions (direct):
Ba (0.000, 0.000, 0.000)
La (0.686, 0.686, 0.000)
La (0.314, 0.314, 0.000)



<ii>
BaLa2 after structural relaxation. Source: Alexandria, functional PBE.

Summary:
- space-group type = P6/mmm (191)
- crystal system = hexagonal

Cell lengths 6.220, 6.220, 3.804 Å; angles 90.00, 90.00, 120.00 degrees
Positions (direct):
Ba (0.000, 0.000, 0.000)
La (0.333, 0.667, 0.500)
La (0.667, 0.333, 0.500)



<iii>
BaLa2 after structural relaxation. Source: Alexandria, functional PBE.

Summary:
- space-group type = Imma (74)
- crystal system = orthorhombic

Cell lengths 10.920, 10.920, 10.920 Å; angles 159.76, 144.92, 40.83 degrees
Positions (direct):
Ba (0.895, 0.645, 0.250)
Ba (0.105, 0.355, 0.750)
La (0.277, 0.027, 0.250)
La (0.723, 0.973, 0.750)
La (0.433, 0.183, 0.250)
La (0.567, 0.817, 0.750)



<iv>
BaLa2 after structural relaxation. Source: Alexandria, functional PBE.

Summary:
- space-group type = P-3m1 (164)
- crystal system = trigonal

Cell lengths 4.324, 4.324, 8.247 Å; angles 90.00, 90.00, 120.00 degrees
Positions (direct):
Ba (0.000, 0.000, 0.000)
La (0.667, 0.333, 0.597)
La (0.333, 0.667, 0.403)



We find <i> to be the most stable, with the next structure 6.5 kJ/mol of atoms higher.



<i>
Ba5La after structural relaxation. Source: Alexandria, functional PBE.

Summary:
- space-group type = Cmmm (65)
- crystal system = orthorhombic

Cell lengths 4.761, 6.909, 10.931 Å; angles 108.42, 90.00, 90.00 degrees
Positions (direct):
Ba (0.000, 0.668, 0.337)
Ba (0.000, 0.332, 0.663)
Ba (0.500, 0.500, 0.000)
Ba (0.500, 0.156, 0.313)
Ba (0.500, 0.844, 0.687)
La (0.000, 0.000, 0.000)



<ii>
Ba5La after structural relaxation. Source: Alexandria, functional PBE.

Summary:
- space-group type = Amm2 (38)
- crystal system = orthorhombic

Cell lengths 11.525, 11.525, 7.007 Å; angles 90.00, 90.00, 158.57 degrees
Positions (direct):
Ba (0.995, 0.005, 0.000)
Ba (0.665, 0.335, 0.000)
Ba (0.336, 0.664, 0.000)
Ba (0.550, 0.450, 0.500)
Ba (0.231, 0.769, 0.500)
La (0.890, 0.110, 0.500)



We find <i> to be the most stable, with the next structure 0.5 kJ/mol of atoms higher.



<i>
Ba5La after structural relaxation. Source: Alexandria, functional PBE.

Summary:
- space-group type = Cm (8)
- crystal system = monoclinic

Cell lengths 8.227, 8.227, 10.261 Å; angles 74.33, 74.33, 30.80 degrees
Positions (direct):
Ba (0.988, 0.988, 0.000)
Ba (0.326, 0.326, 0.337)
Ba (0.672, 0.672, 0.692)
Ba (0.617, 0.617, 0.250)
Ba (0.948, 0.948, 0.614)
La (0.282, 0.282, 0.940)



<ii>
Ba5La after structural relaxation. Source: Alexandria, functional PBE.

Summary:
- space-group type = P6/mmm (191)
- crystal system = hexagonal

Cell lengths 7.643, 7.643, 7.038 Å; angles 90.00, 90.00, 120.00 degrees
Each line ends with the local moment (μB).
Positions (direct):
Ba (0.333, 0.667, 0.000)  0.01
Ba (0.667, 0.333, 0.000)  0.01
Ba (0.500, 0.000, 0.500)  0.00
Ba (0.000, 0.500, 0.500)  0.00
Ba (0.500, 0.500, 0.500)  0.00
La (0.000, 0.000, 0.000)  0.20



We find <i> to be the most stable, with the next structure 28.0 kJ/mol of atoms higher.



<i>
Ba4La after structural relaxation. Source: Alexandria, functional PBE.

Summary:
- space-group type = Pm-3m (221)
- crystal system = cubic

Cell lengths 6.703, 6.703, 6.703 Å; angles 90.00, 90.00, 90.00 degrees
Positions (direct):
Ba (0.000, 0.000, 0.000)
Ba (0.500, 0.000, 0.500)
Ba (0.000, 0.500, 0.500)
Ba (0.500, 0.500, 0.000)
La (0.500, 0.500, 0.500)



<ii>
Ba4La after structural relaxation. Source: Alexandria, functional PBE.

Summary:
- space-group type = Im-3m (229)
- crystal system = cubic

Cell lengths 7.517, 7.517, 7.517 Å; angles 109.47, 109.47, 109.47 degrees
Positions (direct):
Ba (0.500, 0.000, 0.000)
Ba (0.500, 0.500, 0.500)
Ba (0.000, 0.500, 0.000)
Ba (0.000, 0.000, 0.500)
La (0.000, 0.000, 0.000)



We find <i> to be the most stable, with the next structure 6.3 kJ/mol of atoms higher.



<i>
BaLa5 after structural relaxation. Source: Alexandria, functional PBE.

Summary:
- space-group type = P6/mmm (191)
- crystal system = hexagonal

Cell lengths 7.010, 7.010, 5.988 Å; angles 90.00, 90.00, 120.00 degrees
Positions (direct):
Ba (0.000, 0.000, 0.000)
La (0.333, 0.667, 0.000)
La (0.667, 0.333, 0.000)
La (0.500, 0.000, 0.500)
La (0.000, 0.500, 0.500)
La (0.500, 0.500, 0.500)



<ii>
BaLa5 after structural relaxation. Source: Alexandria, functional PBE.

Summary:
- space-group type = F-43m (216)
- crystal system = cubic

Cell lengths 7.032, 7.032, 7.032 Å; angles 60.00, 60.00, 60.00 degrees
Positions (direct):
Ba (0.000, 0.000, 0.000)
La (0.250, 0.250, 0.250)
La (0.617, 0.617, 0.617)
La (0.617, 0.617, 0.148)
La (0.148, 0.617, 0.617)
La (0.617, 0.148, 0.617)



We find <ii> to be the most stable, with the next structure 1.7 kJ/mol of atoms higher.



<i>
BaLa5 after structural relaxation. Source: Alexandria, functional PBE.

Summary:
- space-group type = Cmmm (65)
- crystal system = orthorhombic

Cell lengths 5.370, 5.360, 8.594 Å; angles 108.17, 90.00, 90.00 degrees
Positions (direct):
Ba (0.000, 0.000, 0.000)
La (0.000, 0.675, 0.349)
La (0.000, 0.325, 0.651)
La (0.500, 0.500, 0.000)
La (0.500, 0.175, 0.351)
La (0.500, 0.825, 0.649)



<ii>
BaLa5 after structural relaxation. Source: Alexandria, functional PBE.

Summary:
- space-group type = P4/mmm (123)
- crystal system = tetragonal

Cell lengths 3.774, 3.774, 16.558 Å; angles 90.00, 90.00, 90.00 degrees
Positions (direct):
Ba (0.500, 0.500, 0.000)
La (0.000, 0.000, 0.806)
La (0.000, 0.000, 0.194)
La (0.500, 0.500, 0.660)
La (0.500, 0.500, 0.340)
La (0.000, 0.000, 0.500)



<iii>
BaLa5 after structural relaxation. Source: Alexandria, functional PBE.

Summary:
- space-group type = Cm (8)
- crystal system = monoclinic

Cell lengths 7.412, 7.412, 9.133 Å; angles 76.11, 76.11, 29.52 degrees
Positions (direct):
Ba (0.002, 0.002, 0.004)
La (0.674, 0.674, 0.657)
La (0.319, 0.319, 0.350)
La (0.383, 0.383, 0.708)
La (0.055, 0.055, 0.394)
La (0.734, 0.734, 0.053)



We find <ii> to be the most stable, with the next structure 3.8 kJ/mol of atoms higher.



<i>
BaLiLa after structural relaxation. Source: Alexandria, functional PBE.

Summary:
- space-group type = P3m1 (156)
- crystal system = trigonal

Cell lengths 5.876, 5.876, 3.800 Å; angles 90.00, 90.00, 120.00 degrees
Positions (direct):
Ba (0.000, 0.000, 0.959)
La (0.667, 0.333, 0.357)
Li (0.333, 0.667, 0.684)



<ii>
BaLiLa after structural relaxation. Source: Alexandria, functional PBE.

Summary:
- space-group type = F-43m (216)
- crystal system = cubic

Cell lengths 5.653, 5.653, 5.653 Å; angles 60.00, 60.00, 60.00 degrees
Each line ends with the local moment (μB).
Positions (direct):
Ba (0.000, 0.000, 0.000)  0.12
La (0.500, 0.500, 0.500)  0.33
Li (0.750, 0.750, 0.750)  0.03



We find <i> to be the most stable, with the next structure 20.4 kJ/mol of atoms higher.



<i>
BaLiLa after structural relaxation. Source: Alexandria, functional PBE.

Summary:
- space-group type = P3m1 (156)
- crystal system = trigonal

Cell lengths 3.868, 3.868, 9.126 Å; angles 90.00, 90.00, 120.00 degrees
Positions (direct):
Ba (0.000, 0.000, 0.987)
La (0.667, 0.333, 0.358)
Li (0.333, 0.667, 0.655)



<ii>
BaLiLa after structural relaxation. Source: Alexandria, functional PBE.

Summary:
- space-group type = C2/m (12)
- crystal system = monoclinic

Cell lengths 3.948, 3.948, 15.847 Å; angles 104.36, 104.36, 89.97 degrees
Positions (direct):
La (0.828, 0.828, 0.578)
La (0.172, 0.172, 0.422)
Ba (0.538, 0.538, 0.788)
Ba (0.462, 0.462, 0.212)
Li (0.213, 0.213, 0.963)
Li (0.787, 0.787, 0.037)



We find <ii> to be the most stable, with the next structure 13.6 kJ/mol of atoms higher.